Material: CaPaIrRu
Method: DFT, PBE
State: optimized geometry

Unit cell a=4.831 b=4.831 c=4.831 alpha=60.00 beta=60.00 gamma=60.00
Element x y z (fractional)
Pa 0.250 0.250 0.250
Ru 0.500 0.500 0.500
Ir 0.000 0.000 0.000
Ca 0.750 0.750 0.750

Calculated values
VASP energy in eV per atom: -7.769
Space group: No. 216
Magnetization in μB per formula unit: 0.0
ΔE_f in meV per atom: -360
N(E_F) in states/eV/atom: 0.7129



Material: Ca2PaSi3Ir4
Method: DFT, PBE
State: optimized geometry

Unit cell a=4.220 b=4.220 c=10.660 alpha=90.00 beta=90.00 gamma=90.00
Element x y z (fractional)
Si 0.500 0.000 0.883
Si 0.000 0.000 0.500
Si 0.000 0.500 0.117
Ir 0.500 0.500 0.000
Ir 0.000 0.000 0.000
Ir 0.500 0.000 0.655
Ir 0.000 0.500 0.345
Ca 0.000 0.500 0.774
Ca 0.500 0.000 0.226
Pa 0.500 0.500 0.500

Calculated values
VASP energy in eV per atom: -7.314
ΔE_f (raw) in eV per atom: -0.79
Space group: No. 115
Magnetization in μB per formula unit: 0.0
N(E_F) in states/eV/atom: 0.6694



Material: CaIr2Pb
Method: DFT, PBE
State: optimized geometry

Unit cell a=5.381 b=5.381 c=5.381 alpha=135.27 beta=135.27 gamma=65.12
Element x y z (fractional)
Ir 0.250 0.750 0.500
Ir 0.000 0.000 0.000
Pb 0.500 0.500 0.000
Ca 0.750 0.250 0.500

Calculated values
VASP energy in eV per atom: -5.712
Space group: No. 119
Magnetization in μB per formula unit: 0.0
ΔE_f in meV per atom: 146
N(E_F) in states/eV/atom: 0.8860



Material: CaIr2Pb
Method: DFT, PBE
State: optimized geometry

Unit cell a=5.046 b=5.046 c=5.422 alpha=79.81 beta=79.81 gamma=36.01
Element x y z (fractional)
Ir 0.001 0.001 0.959
Ir 0.499 0.499 0.541
Ca 0.250 0.250 0.250
Pb 0.750 0.750 0.750

Calculated values
VASP energy in eV per atom: -5.616
Space group: No. 12
Magnetization in μB per formula unit: 0.0
ΔE_f in meV per atom: 242
N(E_F) in states/eV/atom: 0.8081